# 1
# Tm4CuPdRu2

Tm4CuPdRu2 after structural relaxation (PBE-GGA, Alexandria).

Calculated volume, Å³/atom: 19.54
E_tot, eV per atom: -6.29
Formation energy from the elements, eV per formula unit: -4.58
Crystal system: trigonal

Structure (CIF):
```
data_Tm4CuPdRu2
_chemical_formula_sum 'Tm12 Cu3 Pd3 Ru6'
_space_group_name_H-M_alt 'R -3 m'
_space_group_IT_number 166
_space_group_name_Hall '-R 3 2"'
_cell_length_a 4.7928
_cell_length_b 4.7928
_cell_length_c 23.5768
_cell_angle_alpha 90.00
_cell_angle_beta 90.00
_cell_angle_gamma 120.00
loop_
_atom_site_label
_atom_site_fract_x
_atom_site_fract_y
_atom_site_fract_z
Tm1 0.0000 0.0000 0.1244
Tm2 0.0000 0.0000 0.3746
Cu1 0.0000 0.0000 0.0000
Pd1 0.0000 0.0000 0.5000
Ru1 0.0000 0.0000 0.2506
```

---

# 2
# SrBeAl2Ir

SrBeAl2Ir after structural relaxation (PBE-GGA, Alexandria).

Calculated volume, Å³/atom: 20.52
E_tot, eV per atom: -4.70
Formation energy from the elements, eV per formula unit: -1.73
Crystal system: tetragonal

Structure (CIF):
```
data_SrBeAl2Ir
_chemical_formula_sum 'Sr1 Be1 Al2 Ir1'
_space_group_name_H-M_alt 'P 4/m m m'
_space_group_IT_number 123
_space_group_name_Hall '-P 4 2'
_cell_length_a 4.766
_cell_length_b 4.766
_cell_length_c 4.517
_cell_angle_alpha 90.00
_cell_angle_beta 90.00
_cell_angle_gamma 90.00
loop_
_atom_site_label
_atom_site_fract_x
_atom_site_fract_y
_atom_site_fract_z
Sr1 0.000 0.000 0.000
Be1 0.500 0.500 0.000
Al1 0.000 0.500 0.500
Ir1 0.500 0.500 0.500
```

---

# 3
# K2CaMn

K2CaMn after structural relaxation (PBE-GGA, Alexandria).

Calculated volume, Å³/atom: 44.44
E_tot, eV per atom: -2.62
Energy relative to the lowest polymorph listed for this composition, meV/atom: 245
Formation energy from the elements, eV per formula unit: 2.88
Crystal system: tetragonal

Structure (CIF):
```
data_K2CaMn
_chemical_formula_sum 'K2 Ca1 Mn1'
_space_group_name_H-M_alt 'P 4/m m m'
_space_group_IT_number 123
_space_group_name_Hall '-P 4 2'
_cell_length_a 4.574
_cell_length_b 4.574
_cell_length_c 8.495
_cell_angle_alpha 90.00
_cell_angle_beta 90.00
_cell_angle_gamma 90.00
loop_
_atom_site_label
_atom_site_fract_x
_atom_site_fract_y
_atom_site_fract_z
K1 0.000 0.000 0.214
Ca1 0.500 0.500 0.500
Mn1 0.500 0.500 0.000
```

---

# 4
# Ba2SeS

Ba2SeS after structural relaxation (PBE-GGA, Alexandria).

Calculated volume, Å³/atom: 30.66
E_tot, eV per atom: -4.71
Energy relative to the lowest polymorph listed for this composition, meV/atom: 218
ΔE_f (raw), eV/atom: -1.844
Crystal system: cubic

Structure (CIF):
```
data_Ba2SeS
_chemical_formula_sum 'Ba8 Se4 S4'
_space_group_name_H-M_alt 'F m -3 m'
_space_group_IT_number 225
_space_group_name_Hall '-F 4 2 3'
_cell_length_a 7.887
_cell_length_b 7.887
_cell_length_c 7.887
_cell_angle_alpha 90.00
_cell_angle_beta 90.00
_cell_angle_gamma 90.00
loop_
_atom_site_label
_atom_site_fract_x
_atom_site_fract_y
_atom_site_fract_z
Ba1 0.250 0.250 0.250
Se1 0.000 0.000 0.000
S1 0.000 0.000 0.500
```

---

# 5
# SiP4

SiP4 after structural relaxation (PBE-GGA, Alexandria).

Calculated volume, Å³/atom: 17.70
E_tot, eV per atom: -4.41
Energy relative to the lowest polymorph listed for this composition, meV/atom: 359
ΔE_f (raw), eV/atom: 1.006
Crystal system: cubic

Structure (CIF):
```
data_SiP4
_chemical_formula_sum 'Si1 P4'
_space_group_name_H-M_alt 'P m -3 m'
_space_group_IT_number 221
_space_group_name_Hall '-P 4 2 3'
_cell_length_a 4.456
_cell_length_b 4.456
_cell_length_c 4.456
_cell_angle_alpha 90.00
_cell_angle_beta 90.00
_cell_angle_gamma 90.00
loop_
_atom_site_label
_atom_site_fract_x
_atom_site_fract_y
_atom_site_fract_z
Si1 0.000 0.000 0.000
P1 0.000 0.000 0.500
P2 0.500 0.500 0.500
```

---

# 6
# Cd3AsW

Cd3AsW after structural relaxation (PBE-GGA, Alexandria).

Calculated volume, Å³/atom: 27.51
E_tot, eV per atom: -2.66
Energy relative to the lowest polymorph listed for this composition, meV/atom: 0
Formation energy from the elements, eV per formula unit: 7.07
Crystal system: cubic

Structure (CIF):
```
data_Cd3AsW
_chemical_formula_sum 'Cd3 As1 W1'
_space_group_name_H-M_alt 'P m -3 m'
_space_group_IT_number 221
_space_group_name_Hall '-P 4 2 3'
_cell_length_a 5.162
_cell_length_b 5.162
_cell_length_c 5.162
_cell_angle_alpha 90.00
_cell_angle_beta 90.00
_cell_angle_gamma 90.00
loop_
_atom_site_label
_atom_site_fract_x
_atom_site_fract_y
_atom_site_fract_z
Cd1 0.000 0.000 0.500
As1 0.000 0.000 0.000
W1 0.500 0.500 0.500
```

---

Question: Look up the calculated volume of the fifth one.
Answer: 17.70 Å³/atom